Crystalline B2MoIr at its relaxed geometry. Source: OQMD, functional GGA-PBE.

Cell lengths 4.062, 4.062, 4.062 Å; angles 60.00, 60.00, 60.00 degrees
Positions (direct):
B  0.000  0.000  0.000
B  0.250  0.250  0.250
Mo  0.500  0.500  0.500
Ir  0.750  0.750  0.750

Values from the calculation:
- total magnetization (μB/cell) = 0.01
- SG = No. 216
- total energy (eV per atom) = -7.23


Crystalline NdGd2Cd3Ir2Pt at its relaxed geometry. Source: OQMD, functional GGA-PBE.

Cell lengths 4.003, 7.557, 7.557 Å; angles 120.13, 90.00, 90.00 degrees
Positions (direct):
Nd  0.000  0.000  0.000
Gd  0.000  0.409  0.818
Gd  0.000  0.818  0.409
Cd  0.500  0.154  0.410
Cd  0.500  0.410  0.154
Cd  0.500  0.666  0.666
Ir  0.500  0.078  0.739
Ir  0.500  0.739  0.078
Pt  0.000  0.413  0.413

Values from the calculation:
- total magnetization (μB/cell) = 0.00
- SG = No. 38
- total energy (eV per atom) = -5.15